Record 1
Material: CoBr
Method: DFT, GGA-PBE
State: relaxed

Output
Its space group is F-43m. The size of the total moment comes out at 2.003 μB per formula unit. The distance to the lowest polymorph of the same formula is 0.0 meV/atom.

Cell lengths 3.9229, 3.9229, 3.9229 Å; angles 60.00, 60.00, 60.00 degrees
Last column: nearest neighbours and their distance in Å.
Atoms (fractional coordinates):
Br 0.0000 0.0000 0.0000  4 Co 2.40
Co 0.2500 0.2500 0.2500  4 Br 2.40

Record 2
Material: DyInCu
Method: DFT, GGA-PBE
State: relaxed

Output
Its space group is P-62m. The size of the total moment comes out at 0.003 μB per formula unit.

Cell lengths 6.9935, 6.9935, 4.5943 Å; angles 90.00, 90.00, 120.00 degrees
Last column: nearest neighbours and their distance in Å.
Atoms (fractional coordinates):
Cu 0.0000 0.2251 0.0000  2 Cu 2.73, 4 In 2.78-2.79
Cu 0.2251 0.0000 0.0000  2 Cu 2.73, 4 In 2.78-2.79
Cu 0.7749 0.7749 0.0000  2 Cu 2.73, 4 In 2.78-2.79
In 0.3333 0.6667 0.0000  3 Cu 2.79, 6 Dy 3.09
In 0.0000 0.0000 0.5000  6 Cu 2.78, 3 Dy 3.06
In 0.6667 0.3333 0.0000  3 Cu 2.79, 6 Dy 3.09
Dy 0.4381 0.4381 0.5000  5 In 3.06-3.09, 2 Cu 3.29
Dy 0.5619 0.0000 0.5000  5 In 3.06-3.09, 2 Cu 3.29
Dy 0.0000 0.5619 0.5000  5 In 3.06-3.09, 2 Cu 3.29

Record 3
Material: DyY2Co8Ni
Method: DFT, GGA-PBE
State: relaxed

Output
Its space group is R-3m. The size of the total moment comes out at 8.914 μB per formula unit. Its formation energy is -0.186 eV/atom.

Cell lengths 8.6748, 8.6748, 8.6748 Å; angles 32.96, 32.96, 32.96 degrees
Last column: nearest neighbours and their distance in Å.
Atoms (fractional coordinates):
Co 0.4197 0.9198 0.4197  6 Co 2.42-2.46, 1 Ni 2.56
Co 0.0802 0.5803 0.5803  6 Co 2.42-2.46, 1 Ni 2.56
Co 0.5803 0.0802 0.5803  6 Co 2.42-2.46, 1 Ni 2.56
Co 0.5803 0.5803 0.0802  6 Co 2.42-2.46, 1 Ni 2.56
Co 0.9198 0.4197 0.4197  6 Co 2.42-2.46, 1 Ni 2.56
Co 0.3337 0.3337 0.3337  6 Co 2.42-2.44
Co 0.4197 0.4197 0.9198  6 Co 2.42-2.46, 1 Ni 2.56
Co 0.6663 0.6663 0.6663  6 Co 2.42-2.44
Y 0.1394 0.1394 0.1394  9 Co 2.86-3.14, 3 Ni 2.92, 3 Y 3.14
Y 0.8606 0.8606 0.8606  9 Co 2.86-3.14, 3 Ni 2.92, 3 Y 3.14
Ni 0.5000 0.5000 0.5000  6 Co 2.56
Dy 0.0000 0.0000 0.0000  18 Co 2.84-3.15

Record 4
Material: CdS
Method: DFT, GGA-PBE
State: relaxed

Output
Its space group is P6_3/mmc.

Cell lengths 3.7850, 3.7850, 6.7672 Å; angles 90.00, 90.00, 120.00 degrees
Last column: nearest neighbours and their distance in Å.
Atoms (fractional coordinates):
Cd 0.3333 0.6667 0.2500  6 S 2.76
Cd 0.6667 0.3333 0.7500  6 S 2.76
S 0.0000 0.0000 0.0000  6 Cd 2.76
S 0.0000 0.0000 0.5000  6 Cd 2.76

Record 5
Material: AlPtI6
Method: DFT, GGA-PBE
State: relaxed

Output
Its space group is F-43m. The size of the total moment comes out at 0.001 μB per formula unit.

Cell lengths 7.7605, 7.7605, 7.7605 Å; angles 60.00, 60.00, 60.00 degrees
Last column: nearest neighbours and their distance in Å.
Atoms (fractional coordinates):
I 0.4943 0.0057 0.0057  1 Pt 2.68
I 0.4943 0.0057 0.4943  1 Pt 2.68
I 0.0057 0.4943 0.0057  1 Pt 2.68
I 0.0057 0.4943 0.4943  1 Pt 2.68
I 0.4943 0.4943 0.0057  1 Pt 2.68
I 0.0057 0.0057 0.4943  1 Pt 2.68
Pt 0.2500 0.2500 0.2500  6 I 2.68
Al 0.0000 0.0000 0.0000  12 I 3.88

Record 6
Material: Ho2SO6
Method: DFT, GGA-PBE
State: relaxed

Output
Its space group is P2_12_12. The size of the total moment comes out at 0.003 μB per formula unit. The distance to the lowest polymorph of the same formula is 50.7 meV/atom.

Cell lengths 4.0134, 13.6964, 4.0242 Å; angles 90.00, 90.00, 90.00 degrees
Last column: nearest neighbours and their distance in Å.
Atoms (fractional coordinates):
Ho 0.9664 0.3232 0.2459  6 O 2.24-2.31
Ho 0.0336 0.6768 0.2459  6 O 2.24-2.31
Ho 0.4664 0.1768 0.7541  6 O 2.24-2.31
Ho 0.5336 0.8232 0.7541  6 O 2.24-2.31
O 0.8027 0.0665 0.0317  1 S 1.47
O 0.7786 0.9409 0.4523  1 S 1.47
O 0.0346 0.7495 0.7460  4 Ho 2.24-2.25
O 0.6973 0.5665 0.9683  1 S 1.47
O 0.2786 0.5591 0.5477  1 S 1.47
O 0.1973 0.9335 0.0317  1 S 1.47
O 0.3027 0.4335 0.9683  1 S 1.47
O 0.9654 0.2505 0.7460  4 Ho 2.24-2.25
O 0.4654 0.2495 0.2540  4 Ho 2.24-2.25
O 0.2214 0.0591 0.4523  1 S 1.47
O 0.7214 0.4409 0.5477  1 S 1.47
O 0.5346 0.7505 0.2540  4 Ho 2.24-2.25
S 0.0000 0.0000 0.2419  4 O 1.47
S 0.5000 0.5000 0.7581  4 O 1.47

Number 1: energy -4.09 eV per atom. Number 2: energy -3.96 eV per atom. Number 3: energy -6.85 eV per atom. Number 4: energy -2.86 eV per atom. Number 5: energy -2.33 eV per atom. Number 6: energy -7.43 eV per atom.